Below is a geometry-optimized Li4Ti2Cr3Sn3O16 structure, with properties calculated at the PBE with a Hubbard U level.

Lattice parameters (Å, degrees): 6.1100 6.1100 9.6705 89.47 89.47 60.16
Atoms (fractional coordinates):
Li  0.3279  0.3279  0.1094
Li  0.0126  0.0126  0.0093
Li  0.0073  0.0073  0.4997
Li  0.6657  0.6657  0.6002
Ti  0.3245  0.3245  0.5005
Ti  0.6561  0.6561  0.0170
Cr  0.1713  0.1713  0.7852
Cr  0.3400  0.8273  0.2861
Cr  0.8273  0.3400  0.2861
Sn  0.1696  0.6620  0.7857
Sn  0.6620  0.1696  0.7857
Sn  0.8292  0.8292  0.2863
O  0.1686  0.6660  0.4064
O  0.4831  0.4831  0.6548
O  0.3294  0.3294  0.9014
O  0.0063  0.0063  0.6852
O  0.0037  0.0037  0.1933
O  0.6660  0.1686  0.4064
O  0.0424  0.4746  0.6561
O  0.4746  0.0424  0.6561
O  0.8381  0.8381  0.9076
O  0.1700  0.1700  0.4012
O  0.5141  0.9563  0.1553
O  0.9563  0.5141  0.1553
O  0.6610  0.6610  0.3953
O  0.3336  0.8358  0.9038
O  0.5204  0.5204  0.1592
O  0.8358  0.3336  0.9038

Calculated values
total magnetization = 9.96 Bohr magnetons per cell
total energy = -0.5127 Ry per atom
volume = 313 Å³ per cell